Record 1
A plane-wave DFT calculation with meta-GGA SCAN was carried out for a crystal of SrTi4Bi4O15 relaxed with PBEsol.

## Properties
ρ = 7466 kg/m3
formation energy without anion corrections = -59.33 eV per formula unit
E = -23.063 eV/atom

```
SrTi4Bi4O15
1.0
20.2401 -2.7228 0.0000
20.2401 2.7228 0.0000
0.0000 0.0000 5.4682
Sr Ti Bi O
2 8 8 30
Direct
0.2450 0.7550 0.5000 Sr
0.7550 0.2450 0.0000 Sr
0.0970 0.6010 0.0082 Ti
0.2011 0.7026 0.0051 Ti
0.2974 0.7989 0.0051 Ti
0.3990 0.9030 0.0082 Ti
0.6010 0.0970 0.5082 Ti
0.7026 0.2011 0.5051 Ti
0.7989 0.2974 0.5051 Ti
0.9030 0.3990 0.5082 Ti
0.0548 0.5079 0.4397 Bi
0.1468 0.6496 0.4640 Bi
0.3504 0.8532 0.4640 Bi
0.4921 0.9452 0.4397 Bi
0.5079 0.0548 0.9397 Bi
0.6496 0.1468 0.9640 Bi
0.8532 0.3504 0.9640 Bi
0.9452 0.4921 0.9397 Bi
0.0204 0.0649 0.2590 O
0.0649 0.0204 0.7590 O
0.0904 0.7179 0.0489 O
0.1043 0.1921 0.8172 O
0.1193 0.4931 0.0162 O
0.1921 0.1043 0.3172 O
0.2420 0.2561 0.7100 O
0.2561 0.2420 0.2100 O
0.2821 0.9096 0.0489 O
0.2989 0.7011 0.0328 O
0.3407 0.3862 0.7552 O
0.3862 0.3407 0.2552 O
0.4167 0.4760 0.3099 O
0.4760 0.4167 0.8099 O
0.4931 0.1193 0.5162 O
0.5069 0.8807 0.0162 O
0.5240 0.5833 0.3099 O
0.5833 0.5240 0.8099 O
0.6138 0.6593 0.7552 O
0.6593 0.6138 0.2552 O
0.7011 0.2989 0.5328 O
0.7179 0.0904 0.5489 O
0.7439 0.7580 0.7100 O
0.7580 0.7439 0.2100 O
0.8079 0.8957 0.8172 O
0.8807 0.5069 0.5162 O
0.8957 0.8079 0.3172 O
0.9096 0.2821 0.5489 O
0.9351 0.9796 0.2590 O
0.9796 0.9351 0.7590 O
```

---

Record 2
A plane-wave DFT calculation with meta-GGA SCAN was carried out for a crystal of Sr2V3BiO11 relaxed with PBEsol.

## Properties
ρ = 4889 kg/m3
formation energy without anion corrections = -45.91 eV per formula unit
E = -17.062 eV/atom

```
Sr2V3BiO11
1.0
6.9569 0.0000 0.0000
-0.2912 6.9807 0.0000
-1.0441 -1.6045 9.9739
Sr V Bi O
4 6 2 22
Direct
0.1450 0.2550 0.4768 Sr
0.1614 0.6116 0.8633 Sr
0.8386 0.3884 0.1367 Sr
0.8550 0.7450 0.5232 Sr
0.1400 0.1105 0.8359 V
0.3438 0.7629 0.5387 V
0.3649 0.5760 0.2351 V
0.6351 0.4240 0.7649 V
0.6562 0.2371 0.4613 V
0.8600 0.8895 0.1641 V
0.3393 0.0806 0.1370 Bi
0.6607 0.9194 0.8630 Bi
0.0434 0.0604 0.2340 O
0.0855 0.2509 0.9784 O
0.1605 0.4629 0.2637 O
0.1855 0.9159 0.4897 O
0.1989 0.2630 0.7325 O
0.2000 0.6028 0.5990 O
0.3197 0.7472 0.1342 O
0.3314 0.9723 0.8936 O
0.4664 0.1281 0.3506 O
0.4747 0.6603 0.4032 O
0.4887 0.3993 0.1516 O
0.5113 0.6007 0.8484 O
0.5253 0.3397 0.5968 O
0.5336 0.8719 0.6494 O
0.6686 0.0277 0.1064 O
0.6803 0.2528 0.8658 O
0.8000 0.3972 0.4010 O
0.8011 0.7370 0.2675 O
0.8145 0.0841 0.5103 O
0.8395 0.5371 0.7363 O
0.9145 0.7491 0.0216 O
0.9566 0.9396 0.7660 O
```

---

Record 3
A plane-wave DFT calculation with meta-GGA SCAN was carried out for a crystal of Sr3V3BiO12 relaxed with PBEsol.

## Properties
ρ = 5085 kg/m3
formation energy without anion corrections = -52.00 eV per formula unit
E = -17.087 eV/atom

```
Sr3V3BiO12
1.0
4.8994 -8.3986 0.0000
4.8994 8.3986 0.0000
-3.3276 0.0000 6.4807
Sr V Bi O
6 6 2 24
Direct
0.1366 0.4479 0.9033 Sr
0.1938 0.1938 0.1262 Sr
0.4479 0.1366 0.9033 Sr
0.5521 0.8634 0.0967 Sr
0.8062 0.8062 0.8738 Sr
0.8634 0.5521 0.0967 Sr
0.0796 0.7437 0.7155 V
0.2563 0.9204 0.2845 V
0.3965 0.3965 0.7142 V
0.6035 0.6035 0.2858 V
0.7437 0.0796 0.7155 V
0.9204 0.2563 0.2845 V
0.3139 0.6861 0.5000 Bi
0.6861 0.3139 0.5000 Bi
0.0300 0.6575 0.4578 O
0.0604 0.8832 0.1833 O
0.0832 0.4007 0.2273 O
0.1168 0.9396 0.8167 O
0.2251 0.7234 0.1759 O
0.2556 0.2556 0.4775 O
0.2766 0.7749 0.8241 O
0.3200 0.3200 0.8848 O
0.3425 0.9700 0.5422 O
0.4007 0.0832 0.2273 O
0.4097 0.5872 0.7418 O
0.4128 0.5903 0.2582 O
0.5872 0.4097 0.7418 O
0.5903 0.4128 0.2582 O
0.5993 0.9168 0.7727 O
0.6575 0.0300 0.4578 O
0.6800 0.6800 0.1152 O
0.7234 0.2251 0.1759 O
0.7444 0.7444 0.5225 O
0.7749 0.2766 0.8241 O
0.8832 0.0604 0.1833 O
0.9168 0.5993 0.7727 O
0.9396 0.1168 0.8167 O
0.9700 0.3425 0.5422 O
```

---

Record 4
A plane-wave DFT calculation with meta-GGA SCAN was carried out for a crystal of SrV4Bi6O20 relaxed with PBEsol.

## Properties
ρ = 6852 kg/m3
formation energy without anion corrections = -63.25 eV per formula unit
E = -24.245 eV/atom

```
SrV4Bi6O20
1.0
7.1047 0.0000 0.0000
-2.9717 7.3531 0.0000
-0.7816 -3.0754 8.6530
Sr V Bi O
1 4 6 20
Direct
0.0000 0.0000 0.0000 Sr
0.0531 0.2750 0.7549 V
0.3473 0.3965 0.2611 V
0.6527 0.6035 0.7389 V
0.9469 0.7250 0.2451 V
0.1934 0.7137 0.6691 Bi
0.3415 0.1284 0.5116 Bi
0.4343 0.7992 0.0855 Bi
0.5657 0.2008 0.9145 Bi
0.6585 0.8716 0.4884 Bi
0.8066 0.2863 0.3309 Bi
0.0580 0.8003 0.4372 O
0.1109 0.2436 0.2780 O
0.1293 0.8335 0.1507 O
0.1616 0.5228 0.8307 O
0.2388 0.1843 0.7560 O
0.3243 0.9141 0.9000 O
0.3533 0.3051 0.0730 O
0.3733 0.6326 0.3110 O
0.4532 0.9728 0.6367 O
0.4640 0.6238 0.6253 O
0.5360 0.3762 0.3747 O
0.5468 0.0272 0.3633 O
0.6267 0.3674 0.6890 O
0.6467 0.6949 0.9270 O
0.6757 0.0859 0.1000 O
0.7612 0.8157 0.2440 O
0.8384 0.4772 0.1693 O
0.8707 0.1665 0.8493 O
0.8891 0.7564 0.7220 O
0.9420 0.1997 0.5628 O
```

---

Record 5
A plane-wave DFT calculation with meta-GGA SCAN was carried out for a crystal of Sr2YBiO6 relaxed with PBEsol.

## Properties
ρ = 6180 kg/m3
formation energy without anion corrections = -25.45 eV per formula unit
E = -21.381 eV/atom

```
Sr2YBiO6
1.0
0.0000 4.2444 4.2444
4.2444 0.0000 4.2444
4.2444 4.2444 0.0000
Sr Y Bi O
2 1 1 6
Direct
0.2500 0.2500 0.2500 Sr
0.7500 0.7500 0.7500 Sr
0.0000 0.0000 0.0000 Y
0.5000 0.5000 0.5000 Bi
0.2550 0.2550 0.7450 O
0.2550 0.7450 0.2550 O
0.2550 0.7450 0.7450 O
0.7450 0.2550 0.2550 O
0.7450 0.2550 0.7450 O
0.7450 0.7450 0.2550 O
```

---

Record 6
A plane-wave DFT calculation with meta-GGA SCAN was carried out for a crystal of Ta3BiO relaxed with PBEsol.

## Properties
ρ = 9538 kg/m3
formation energy without anion corrections = 15.72 eV per formula unit
E = -53.768 eV/atom

```
Ta3BiO
1.0
5.1131 0.0000 0.0000
0.0000 5.1131 0.0000
0.0000 0.0000 5.1131
Ta Bi O
3 1 1
Direct
0.0000 0.0000 0.5000 Ta
0.0000 0.5000 0.0000 Ta
0.5000 0.0000 0.0000 Ta
0.0000 0.0000 0.0000 Bi
0.5000 0.5000 0.5000 O
```

---

Record 7
A plane-wave DFT calculation with meta-GGA SCAN was carried out for a crystal of TaBiO4 relaxed with PBEsol.

## Properties
ρ = 9138 kg/m3
formation energy without anion corrections = -13.98 eV per formula unit
E = -30.677 eV/atom

```
TaBiO4
1.0
5.6524 0.0000 0.0000
0.0000 11.7463 0.0000
0.0000 0.0000 4.9693
Ta Bi O
4 4 16
Direct
0.1325 0.2500 0.2500 Ta
0.3675 0.7500 0.2500 Ta
0.6325 0.2500 0.7500 Ta
0.8675 0.7500 0.7500 Ta
0.2500 0.0000 0.7275 Bi
0.2500 0.5000 0.7725 Bi
0.7500 0.0000 0.2725 Bi
0.7500 0.5000 0.2275 Bi
0.0818 0.0981 0.4136 O
0.0818 0.4019 0.0864 O
0.1453 0.6939 0.5074 O
0.1453 0.8061 0.9926 O
0.3547 0.1939 0.9926 O
0.3547 0.3061 0.5074 O
0.4182 0.5981 0.0864 O
0.4182 0.9019 0.4136 O
0.5818 0.0981 0.5864 O
0.5818 0.4019 0.9136 O
0.6453 0.6939 0.4926 O
0.6453 0.8061 0.0074 O
0.8547 0.1939 0.0074 O
0.8547 0.3061 0.4926 O
0.9182 0.5981 0.9136 O
0.9182 0.9019 0.5864 O
```

---

Record 8
A plane-wave DFT calculation with meta-GGA SCAN was carried out for a crystal of Ta3Bi7O18 relaxed with PBEsol.

## Properties
ρ = 9632 kg/m3
formation energy without anion corrections = -53.52 eV per formula unit
E = -32.696 eV/atom

```
Ta3Bi7O18
1.0
15.8582 -3.8017 0.0000
15.8582 3.8017 0.0000
-0.3296 0.0000 6.5592
Ta Bi O
6 14 36
Direct
0.0000 0.5000 0.5000 Ta
0.1932 0.6936 0.8773 Ta
0.3064 0.8068 0.1227 Ta
0.5000 0.0000 0.5000 Ta
0.6936 0.1932 0.8773 Ta
0.8068 0.3064 0.1227 Ta
0.0473 0.0473 0.6574 Bi
0.1021 0.6054 0.1987 Bi
0.1466 0.1466 0.3100 Bi
0.2486 0.2486 0.0383 Bi
0.3378 0.3378 0.7057 Bi
0.3946 0.8979 0.8013 Bi
0.4458 0.4458 0.4072 Bi
0.5542 0.5542 0.5928 Bi
0.6054 0.1021 0.1987 Bi
0.6622 0.6622 0.2943 Bi
0.7514 0.7514 0.9617 Bi
0.8534 0.8534 0.6900 Bi
0.8979 0.3946 0.8013 Bi
0.9527 0.9527 0.3426 Bi
0.0238 0.6030 0.5053 O
0.0530 0.4571 0.7928 O
0.0725 0.0725 0.0761 O
0.1134 0.1134 0.6255 O
0.1550 0.7551 0.5987 O
0.1672 0.5940 0.8322 O
0.1739 0.1739 0.9841 O
0.2117 0.7883 0.0000 O
0.2174 0.6394 0.1805 O
0.2449 0.8450 0.4013 O
0.2597 0.2597 0.4332 O
0.3217 0.3217 0.0530 O
0.3606 0.7826 0.8195 O
0.3798 0.3798 0.4329 O
0.3970 0.9762 0.4947 O
0.4060 0.8328 0.1678 O
0.4526 0.4526 0.8199 O
0.4571 0.0530 0.7928 O
0.5429 0.9470 0.2072 O
0.5474 0.5474 0.1801 O
0.5940 0.1672 0.8322 O
0.6030 0.0238 0.5053 O
0.6202 0.6202 0.5671 O
0.6394 0.2174 0.1805 O
0.6783 0.6783 0.9470 O
0.7403 0.7403 0.5668 O
0.7551 0.1550 0.5987 O
0.7826 0.3606 0.8195 O
0.7883 0.2117 0.0000 O
0.8261 0.8261 0.0159 O
0.8328 0.4060 0.1678 O
0.8450 0.2449 0.4013 O
0.8866 0.8866 0.3745 O
0.9275 0.9275 0.9239 O
0.9470 0.5429 0.2072 O
0.9762 0.3970 0.4947 O
```

---

Record 9
A plane-wave DFT calculation with meta-GGA SCAN was carried out for a crystal of Ta6Bi2O19 relaxed with PBEsol.

## Properties
ρ = 8649 kg/m3
formation energy without anion corrections = -69.77 eV per formula unit
E = -27.586 eV/atom

```
Ta6Bi2O19
1.0
6.2692 0.0000 0.0000
-3.1346 5.4293 0.0000
0.0000 0.0000 20.3917
Ta Bi O
12 4 38
Direct
0.0000 0.3574 0.1573 Ta
0.0000 0.3574 0.3427 Ta
0.0000 0.6426 0.6573 Ta
0.0000 0.6426 0.8427 Ta
0.3574 0.0000 0.1573 Ta
0.3574 0.0000 0.3427 Ta
0.3574 0.3574 0.6573 Ta
0.3574 0.3574 0.8427 Ta
0.6426 0.0000 0.6573 Ta
0.6426 0.0000 0.8427 Ta
0.6426 0.6426 0.1573 Ta
0.6426 0.6426 0.3427 Ta
0.3333 0.6667 0.0000 Bi
0.3333 0.6667 0.5000 Bi
0.6667 0.3333 0.0000 Bi
0.6667 0.3333 0.5000 Bi
0.0000 0.2433 0.6557 O
0.0000 0.2433 0.8443 O
0.0000 0.4009 0.0583 O
0.0000 0.4009 0.4417 O
0.0000 0.4032 0.2500 O
0.0000 0.5968 0.7500 O
0.0000 0.5991 0.5583 O
0.0000 0.5991 0.9417 O
0.0000 0.7567 0.1557 O
0.0000 0.7567 0.3443 O
0.2433 0.0000 0.6557 O
0.2433 0.0000 0.8443 O
0.2433 0.2433 0.1557 O
0.2433 0.2433 0.3443 O
0.3333 0.6667 0.1490 O
0.3333 0.6667 0.3510 O
0.3333 0.6667 0.6490 O
0.3333 0.6667 0.8510 O
0.4009 0.0000 0.0583 O
0.4009 0.0000 0.4417 O
0.4009 0.4009 0.5583 O
0.4009 0.4009 0.9417 O
0.4032 0.0000 0.2500 O
0.4032 0.4032 0.7500 O
0.5968 0.0000 0.7500 O
0.5968 0.5968 0.2500 O
0.5991 0.0000 0.5583 O
0.5991 0.0000 0.9417 O
0.5991 0.5991 0.0583 O
0.5991 0.5991 0.4417 O
0.6667 0.3333 0.1490 O
0.6667 0.3333 0.3510 O
0.6667 0.3333 0.6490 O
0.6667 0.3333 0.8510 O
0.7567 0.0000 0.1557 O
0.7567 0.0000 0.3443 O
0.7567 0.7567 0.6557 O
0.7567 0.7567 0.8443 O
```

---

Record 10
A plane-wave DFT calculation with meta-GGA SCAN was carried out for a crystal of Ta2Bi2O9 relaxed with PBEsol.

## Properties
ρ = 8904 kg/m3
formation energy without anion corrections = -26.15 eV per formula unit
E = -28.658 eV/atom

```
Ta2Bi2O9
1.0
11.8769 -2.5848 0.0000
11.8769 2.5848 0.0000
0.0000 0.0000 5.6118
Ta Bi O
4 4 18
Direct
0.1739 0.6755 0.5000 Ta
0.3245 0.8261 0.5000 Ta
0.6755 0.1739 0.0000 Ta
0.8261 0.3245 0.0000 Ta
0.0571 0.5605 0.8705 Bi
0.4395 0.9429 0.8705 Bi
0.5605 0.0571 0.3705 Bi
0.9429 0.4395 0.3705 Bi
0.0309 0.0948 0.7408 O
0.0326 0.2814 0.0217 O
0.0948 0.0309 0.2408 O
0.1777 0.3593 0.1996 O
0.2814 0.0326 0.5217 O
0.3496 0.4386 0.8071 O
0.3593 0.1777 0.6996 O
0.3775 0.6225 0.5416 O
0.4386 0.3496 0.3071 O
0.5614 0.6504 0.8071 O
0.6225 0.3775 0.0416 O
0.6407 0.8223 0.1996 O
0.6504 0.5614 0.3071 O
0.7186 0.9674 0.0217 O
0.8223 0.6407 0.6996 O
0.9052 0.9691 0.7408 O
0.9674 0.7186 0.5217 O
0.9691 0.9052 0.2408 O
```